Density functional theory data (meta-GGA SCAN) for a crystal of LaGa3Co relaxed with PBEsol.

As for the formation energy: -0.499 eV per atom. The volume comes out at 93.4 Å³ per cell. As for the total magnetization: 0.70 μB/f.u.

It has space group Pm-3m (No. 221), with a = 4.538 Å, b = 4.538 Å, c = 4.538 Å, α = 90.00°, β = 90.00° and γ = 90.00°. The inequivalent atoms are La at (0.000, 0.000, 0.000), Ga at (0.000, 0.500, 0.500) and Co at (0.500, 0.500, 0.500).

---

Density functional theory data (meta-GGA SCAN) for a crystal of RbZr2TlPt relaxed with PBEsol.

As for the formation energy: 2.219 eV per atom. The volume comes out at 127.6 Å³ per cell. As for the total magnetization: 0.01 μB/f.u.

It has space group P4/mmm (No. 123), with a = 4.880 Å, b = 4.880 Å, c = 5.360 Å, α = 90.00°, β = 90.00° and γ = 90.00°. The inequivalent atoms are Rb at (0.000, 0.000, 0.000), Zr at (0.000, 0.500, 0.000), Tl at (0.000, 0.000, 0.500) and Pt at (0.500, 0.500, 0.500).

---

Density functional theory data (meta-GGA SCAN) for a crystal of Ca4LaB3O10 relaxed with PBEsol.

The volume comes out at 459.9 Å³ per cell. Its uncorrected formation energy is -3.250 eV/atom. As for the total magnetization: 0.00 μB/f.u.

It has space group Cm (No. 8), with a = 8.128 Å, b = 15.995 Å, c = 3.608 Å, α = 90.00°, β = 101.28° and γ = 90.00°. The inequivalent atoms are Ca at (0.000, 0.114, 0.000), Ca at (0.129, 0.319, 0.339), La at (0.354, 0.000, 0.667), B at (0.240, 0.500, 0.376), B at (0.312, 0.196, 0.757), O at (0.066, 0.500, 0.279), O at (0.158, 0.169, 0.556), O at (0.175, 0.000, 0.084), O at (0.321, 0.271, 0.945), O at (0.326, 0.425, 0.425) and O at (0.455, 0.148, 0.764).

---

Density functional theory data (meta-GGA SCAN) for a crystal of Ca3Ga3Ge3O14 relaxed with PBEsol.

The volume comes out at 284.2 Å³ per cell. Its uncorrected formation energy is -2.274 eV/atom. As for the total magnetization: 1.06 μB/f.u.

It has space group P321 (No. 150), with a = 8.1143 Å, b = 8.1143 Å, c = 4.9846 Å, α = 90.00°, β = 90.00° and γ = 120.00°. The inequivalent atoms are Ca at (0.0000, 0.5792, 0.0000), Ga at (0.0000, 0.2412, 0.5000), Ge at (0.0000, 0.0000, 0.0000), Ge at (0.3333, 0.6667, 0.5425), O at (0.0754, 0.8610, 0.2306), O at (0.1462, 0.4632, 0.6998) and O at (0.3333, 0.6667, 0.1965).

---

> Which formula does entry 2 have?

RbZr2TlPt

---

> volume of number 4 (Ca3Ga3Ge3O14)?

284.2 Å³ per cell